A relaxed HfHg3O crystal, computed with PBE.

a b c (Å): 5.580 5.580 5.580
angles (deg): 90.00 90.00 90.00
Space group Pm-3m (No. 221)
Unique sites:
Hf 0.000 0.000 0.000 [1 per cell]
Hg 0.000 0.000 0.500 [3 per cell]
O 0.500 0.500 0.500 [1 per cell]

Summary:
Uncorrected formation energy: 1.022 eV/atom
Calculated total energy: -2.14 eV/atom

=====

A relaxed Hf2HgO crystal, computed with PBE.

a b c (Å): 6.575 6.575 6.575
angles (deg): 90.00 90.00 90.00
Space group Fm-3m (No. 225)
Unique sites:
Hf 0.250 0.250 0.250 [8 per cell]
Hg 0.000 0.000 0.000 [4 per cell]
O 0.000 0.000 0.500 [4 per cell]

Summary:
Uncorrected formation energy: -0.183 eV/atom
Calculated total energy: -6.48 eV/atom

=====

A relaxed Hf2HgO crystal, computed with PBE.

a b c (Å): 3.3340 3.3340 21.2295
angles (deg): 90.00 90.00 120.00
Space group R-3m (No. 166, hexagonal axes)
Unique sites:
Hf 0.0000 0.0000 0.2229 [6 per cell]
Hg 0.0000 0.0000 0.0000 [3 per cell]
O 0.0000 0.0000 0.5000 [3 per cell]

Summary:
Uncorrected formation energy: -1.166 eV/atom
Calculated total energy: -7.46 eV/atom